1.
SiH3Pd: relaxed, PBE.

Its total energy is -3.702 eV per atom.

```
5
Lattice="3.593 0.000 0.000 0.000 3.593 0.000 0.000 0.000 3.593" Properties=species:S:1:pos:R:3 pbc="T T T"
Si 1.797 1.797 1.797
H 0.000 1.797 0.000
H 0.000 0.000 1.797
H 1.797 0.000 0.000
Pd 0.000 0.000 0.000
```

2.
MgRh: relaxed, PBE.

Its formation energy is -0.2114 eV per atom.

```
16
Lattice="7.928 0.000 0.000 0.000 7.928 0.000 0.000 0.000 4.447" Properties=species:S:1:pos:R:3 pbc="T T T"
Rh 6.617 6.617 0.000
Rh 5.276 2.652 2.224
Rh 1.312 1.312 0.000
Rh 2.652 5.276 2.224
Rh 2.652 2.652 2.224
Rh 5.276 5.276 2.224
Rh 6.617 1.312 0.000
Rh 1.312 6.617 0.000
Mg 6.174 3.964 0.000
Mg 0.000 5.719 2.224
Mg 3.964 1.754 0.000
Mg 2.210 0.000 2.224
Mg 5.719 0.000 2.224
Mg 0.000 2.210 2.224
Mg 3.964 6.174 0.000
Mg 1.754 3.964 0.000
```

3.
Rb2BiCl: relaxed, PBE.

As for the uncorrected formation energy: -638 meV/atom.

```
4
Lattice="-5.206 3.420 0.503 -0.944 4.837 -3.842 -4.400 -0.337 -4.425" Properties=species:S:1:pos:R:3 pbc="T T T"
Cl 0.000 0.000 0.000
Bi -5.275 3.960 -3.882
Rb -7.912 5.940 -5.823
Rb -2.637 1.980 -1.941
```

4.
PrHo3F: relaxed, PBE.

As for the uncorrected formation energy: -914 meV/atom.

```
5
Lattice="-1.733 -4.740 -0.454 0.700 0.224 -5.014 4.710 -1.777 0.578" Properties=species:S:1:pos:R:3 pbc="T T T"
F 0.000 0.000 0.000
Ho 2.355 -0.889 0.289
Ho 0.350 0.112 -2.507
Ho -0.866 -2.370 -0.227
Pr 1.838 -3.147 -2.444
```

5.
MnAlCoGe: relaxed, PBE.

Its formation energy is -0.2002 eV per atom.

```
4
Lattice="-0.815 -3.672 -1.552 2.080 -3.256 1.276 -1.835 -2.816 2.293" Properties=species:S:1:pos:R:3 pbc="T T T"
Co 0.000 0.000 0.000
Ge -0.143 -2.436 0.504
Mn -0.285 -4.872 1.008
Al -0.428 -7.308 1.513
```

6.
SiTe: relaxed, PBE.

As for the uncorrected formation energy: 273 meV/atom.

```
4
Lattice="-3.855 1.248 7.696 0.965 -0.291 8.639 2.080 2.016 -8.201" Properties=species:S:1:pos:R:3 pbc="T T T"
Te 1.916 1.415 2.407
Te -2.726 1.557 5.727
Si -0.287 2.116 0.768
Si -0.522 0.856 7.366
```

7.
CaPmAlZn: relaxed, PBE.

Its formation energy is -0.2975 eV per atom.

```
4
Lattice="-1.629 -3.464 -3.555 3.453 -3.096 -2.403 0.124 -5.109 1.083" Properties=species:S:1:pos:R:3 pbc="T T T"
Pm 1.461 -8.752 -3.656
Al 0.974 -5.835 -2.437
Ca 0.487 -2.917 -1.219
Zn 0.000 0.000 0.000
```

8.
LiScRu2: relaxed, PBE.

Its formation energy is -0.0187 eV per atom.

```
4
Lattice="4.336 0.000 0.000 0.000 2.846 -0.016 0.000 1.019 4.860" Properties=species:S:1:pos:R:3 pbc="T T T"
Li 2.168 3.218 3.563
Sc 0.000 1.878 2.579
Ru 2.168 0.976 0.969
Ru 0.000 2.573 0.138
```

9.
LiVGe2B: relaxed, PBE.

Its formation energy is 1.1869 eV per atom.

```
5
Lattice="4.408 0.000 0.000 0.000 3.695 0.000 0.000 0.000 4.408" Properties=species:S:1:pos:R:3 pbc="T T T"
V 2.204 1.848 2.204
Li 0.000 0.000 0.000
Ge 2.204 0.000 0.000
Ge 0.000 0.000 2.204
B 0.000 1.848 0.000
```

10.
Pr5Sm4Mg2: relaxed, PBE.

Its formation energy is 0.0646 eV per atom.

```
11
Lattice="3.537 0.000 0.000 0.000 8.887 -0.005 0.000 -0.861 11.609" Properties=species:S:1:pos:R:3 pbc="T T T"
Mg 0.000 -0.060 7.329
Mg 0.000 8.086 4.275
Sm 1.769 0.577 10.249
Sm 1.769 7.449 1.355
Sm 1.769 2.060 5.234
Sm 1.769 5.966 6.370
Pr 0.000 3.250 8.141
Pr 0.000 6.379 9.676
Pr 0.000 4.776 3.462
Pr 0.000 4.444 -0.002
Pr 0.000 1.647 1.927
```

11.
CrNiHRu2: relaxed, PBE.

Its total energy is -7.369 eV per atom.

```
5
Lattice="-0.959 -3.682 -0.102 1.329 -0.444 3.539 -3.350 0.835 1.363" Properties=species:S:1:pos:R:3 pbc="T T T"
Ni -1.490 -1.645 2.400
Ru 0.665 -0.222 1.770
Ru -0.480 -1.841 -0.051
H 0.000 0.000 0.000
Cr -1.675 0.418 0.681
```

12.
MgTc: relaxed, PBE.

Its formation energy is 0.9608 eV per atom.

```
8
Lattice="-0.212 3.007 -4.373 -4.760 -2.044 -1.175 -2.321 3.827 2.744" Properties=species:S:1:pos:R:3 pbc="T T T"
Mg -5.236 2.703 -3.177
Mg -2.057 2.087 0.372
Mg -1.666 1.392 -3.351
Mg -3.305 -0.429 -2.198
Tc -4.196 0.813 -4.683
Tc -2.937 3.183 -1.901
Tc -0.775 0.150 -0.865
Tc -4.355 1.607 -0.904
```

13.
CaSc2Mn: relaxed, PBE.

Its formation energy is 0.3571 eV per atom.

```
4
Lattice="-5.125 -2.074 0.787 0.462 -4.668 3.031 2.043 5.129 0.843" Properties=species:S:1:pos:R:3 pbc="T T T"
Ca -2.332 -3.371 1.909
Sc 0.086 -1.455 2.891
Sc 0.000 0.000 0.000
Mn -2.707 -0.158 1.769
```

14.
CeCd9Ag2: relaxed, PBE.

Its formation energy is -0.1162 eV per atom.

```
24
Lattice="-3.365 6.414 -2.287 -7.338 2.434 5.009 3.281 7.635 3.975" Properties=species:S:1:pos:R:3 pbc="T T T"
Ag -2.318 11.948 2.232
Ag -7.627 9.347 2.750
Ag -3.958 8.130 0.245
Ag -4.304 9.958 5.880
Cd -0.441 4.603 2.220
Cd -5.960 5.198 5.703
Cd -1.832 10.051 4.383
Cd 0.000 0.000 0.000
Cd -6.641 11.233 4.708
Cd -1.554 6.495 0.308
Cd -5.929 7.082 2.084
Cd -4.083 12.485 4.459
Cd 0.561 7.430 2.369
Cd -1.665 9.170 1.668
Cd -4.552 9.846 2.777
Cd -4.111 5.243 0.557
Cd -2.998 3.351 2.469
Cd -6.096 7.962 4.798
Cd -5.793 4.318 2.988
Cd 0.394 8.311 5.084
Cd -4.525 7.430 7.302
Cd -1.968 8.683 7.053
Ce -2.869 6.639 3.920
Ce -1.682 3.207 -1.143
```

15.
LiCa2Ga2: relaxed, PBE.

Its formation energy is -0.3688 eV per atom.

```
10
Lattice="4.738 0.000 0.000 2.369 5.189 -0.230 2.369 0.410 9.880" Properties=species:S:1:pos:R:3 pbc="T T T"
Ga 7.107 3.861 5.502
Ga 2.369 1.739 4.148
Ga 2.369 4.604 0.878
Ga 7.107 0.996 8.771
Ca 2.369 1.491 0.982
Ca 4.738 1.887 6.612
Ca 7.107 4.108 8.668
Ca 4.738 3.712 3.038
Li 4.738 5.111 6.017
Li 4.738 0.488 3.632
```

Number 1: volume 9.28 A^3/atom. Number 2: volume 17.47 A^3/atom. Number 3: volume 43.14 A^3/atom. Number 4: volume 26.02 A^3/atom. Number 5: volume 11.91 A^3/atom. Number 6: volume 27.46 A^3/atom. Number 7: volume 25.20 A^3/atom. Number 8: volume 15.01 A^3/atom. Number 9: volume 14.36 A^3/atom. Number 10: volume 33.17 A^3/atom. Number 11: volume 10.76 A^3/atom. Number 12: volume 18.51 A^3/atom. Number 13: volume 24.29 A^3/atom. Number 14: volume 22.29 A^3/atom. Number 15: volume 24.33 A^3/atom.